VASP calculation (PBE-GGA) on Pm5Sm2Sc4 after structural relaxation.

Geometry as extended XYZ:
```
11
Lattice="-1.7256 4.4168 11.4142 1.7256 -4.4168 11.4142 1.7256 4.4168 -11.4142" Properties=species:S:1:pos:R:3 pbc="T T T"
Pm 0.0000 0.0000 0.0000
Pm 1.7256 1.7879 -3.1982
Pm 1.7256 1.7879 3.1982
Pm 0.0000 2.6289 8.2160
Pm 0.0000 2.6289 14.6124
Sm 1.7256 0.0000 6.1505
Sm 0.0000 4.4168 5.2637
Sc 1.7256 2.8707 0.0000
Sc 1.7256 0.0000 9.2879
Sc 0.0000 4.4168 2.1263
Sc 0.0000 1.5461 11.4142
```

Properties
As for the total energy: -56.92 eV/cell. Its space-group type is Immm.

---

VASP calculation (PBE-GGA) on SrIn2Rh after structural relaxation.

Geometry as extended XYZ:
```
4
Lattice="4.7253 0.0000 0.0000 0.0000 3.7975 0.0000 -2.3449 0.0000 5.8496" Properties=species:S:1:pos:R:3 pbc="T T T"
Sr 0.0000 0.0000 0.0000
In 0.0192 1.8987 3.6455
In 2.3686 0.0000 2.4401
Rh 2.3555 1.8987 0.5187
```

Properties
As for the total energy: -15.50 eV/cell. Its space-group type is Pm.

---

VASP calculation (PBE-GGA) on Ga2Ir2Au after structural relaxation.

Geometry as extended XYZ:
```
10
Lattice="7.3360 0.0000 0.0000 0.0000 7.3360 0.0000 0.0000 0.0000 2.8945" Properties=species:S:1:pos:R:3 pbc="T T T"
Ga 1.0665 2.6015 0.0000
Ga 2.6015 6.2696 0.0000
Ga 4.7345 1.0665 0.0000
Ga 6.2696 4.7345 0.0000
Ir 1.1063 4.7743 1.4473
Ir 2.5617 1.1063 1.4473
Ir 4.7743 6.2297 1.4473
Ir 6.2297 2.5617 1.4473
Au 0.0000 0.0000 0.0000
Au 3.6680 3.6680 0.0000
```

Properties
As for the distance to the lowest polymorph of the same formula: 0.0568 eV/atom. Its space-group type is P4/mbm.

---

VASP calculation (PBE-GGA) on MnBeRh after structural relaxation.

Geometry as extended XYZ:
```
6
Lattice="4.0843 0.0000 0.0000 0.0000 2.8825 0.0000 -1.8551 0.0000 6.0134" Properties=species:S:1:pos:R:3 pbc="T T T"
Mn 0.0000 0.0000 0.0000
Mn 0.1964 1.4412 2.1722
Be 0.1639 0.0000 4.2039
Be 2.2831 0.0000 1.9522
Rh 2.0479 1.4412 0.0955
Rh 2.2069 1.4412 3.8599
```

Properties
As for the distance to the lowest polymorph of the same formula: 0.0932 eV/atom. Its space-group type is Pm.

---

VASP calculation (PBE-GGA) on BiO2 after structural relaxation.

Geometry as extended XYZ:
```
3
Lattice="0.0000 2.7557 2.7557 2.7557 0.0000 2.7557 2.7557 2.7557 0.0000" Properties=species:S:1:pos:R:3 pbc="T T T"
Bi 0.0000 0.0000 0.0000
O 1.3778 1.3778 1.3778
O 4.1335 4.1335 4.1335
```

Properties
As for the distance to the lowest polymorph of the same formula: 0.1004 eV/atom. For the formation energy (no corrections), the calculation gives -0.90 eV/atom. Its space-group type is Fm-3m.

---

VASP calculation (PBE-GGA) on Th3ZnSi2Rh9 after structural relaxation.

Geometry as extended XYZ:
```
15
Lattice="6.7681 0.0000 0.0000 -3.3840 5.8613 0.0000 0.0000 0.0000 7.0587" Properties=species:S:1:pos:R:3 pbc="T T T"
Th 0.0000 0.0000 0.0000
Th 0.0000 3.9076 4.6907
Th 3.3840 1.9538 2.3680
Zn 0.0000 0.0000 3.5294
Si 0.0000 3.9076 1.1010
Si 3.3840 1.9538 5.9577
Rh -1.6920 2.9307 0.0000
Rh 0.0000 2.0807 2.3899
Rh -1.5821 4.8210 2.3899
Rh 1.8020 1.0404 4.6688
Rh 3.3840 0.0000 0.0000
Rh 1.6920 2.9307 0.0000
Rh 1.5821 4.8210 2.3899
Rh 4.9661 1.0404 4.6688
Rh 3.3840 3.7806 4.6688
```

Properties
For the formation energy (no corrections), the calculation gives -0.61 eV/atom. Its space-group type is P-3m1.

---

VASP calculation (PBE-GGA) on RbCaSiTe after structural relaxation.

Geometry as extended XYZ:
```
4
Lattice="4.7482 0.0000 0.0000 0.0000 2.4021 6.7642 0.0000 -2.4021 6.7642" Properties=species:S:1:pos:R:3 pbc="T T T"
Rb 0.0000 0.0000 0.0000
Ca 2.3741 0.0000 10.3469
Si 2.3741 0.0000 5.2582
Te 0.0000 0.0000 3.7039
```

Properties
As for the distance to the lowest polymorph of the same formula: 0.1887 eV/atom. For the formation energy (no corrections), the calculation gives -0.33 eV/atom. Its space-group type is Amm2.

---

VASP calculation (PBE-GGA) on MgCo2Cl after structural relaxation.

Geometry as extended XYZ:
```
8
Lattice="-3.4915 3.4915 2.5453 3.4915 -3.4915 2.5453 3.4915 3.4915 -2.5453" Properties=species:S:1:pos:R:3 pbc="T T T"
Mg 0.0000 0.0000 0.0000
Mg 0.0000 3.4915 1.2727
Co 1.7458 -1.2767 1.9090
Co 2.2149 1.7458 0.6363
Co 1.7458 4.7682 -0.6363
Co 1.2767 1.7458 3.1816
Cl 3.4915 0.0000 1.2727
Cl 0.0000 0.0000 2.5453
```

Properties
As for the distance to the lowest polymorph of the same formula: 0.5553 eV/atom. For the formation energy (no corrections), the calculation gives 0.48 eV/atom. Its space-group type is I-42d.

---

VASP calculation (PBE-GGA) on CsSrW2 after structural relaxation.

Geometry as extended XYZ:
```
4
Lattice="0.0000 3.9177 3.9177 3.9177 0.0000 3.9177 3.9177 3.9177 0.0000" Properties=species:S:1:pos:R:3 pbc="T T T"
Cs 0.0000 0.0000 0.0000
Sr 3.9177 3.9177 3.9177
W 1.9589 1.9589 1.9589
W 5.8766 5.8766 5.8766
```

Properties
As for the total energy: -17.77 eV/cell. Its space-group type is Fm-3m.